First-principles (GGA-PBEsol) data for Ga2CoAsIr after structural relaxation, as listed in the Alexandria database.

Summary:
crystal system = tetragonal
energy = -5.257 eV per atom
calculated formation energy = 0.6122 eV per atom
calculated volume = 20.15 Å³ per atom

The structure in CIF format:
```
data_Ga2CoAsIr
_space_group_name_H-M_alt 'P 4/m m m'
_space_group_IT_number 123
_space_group_name_Hall '-P 4 2'
_cell_length_a 4.654
_cell_length_b 4.654
_cell_length_c 4.651
_cell_angle_alpha 90.00
_cell_angle_beta 90.00
_cell_angle_gamma 90.00
loop_
_atom_site_label
_atom_site_type_symbol
_atom_site_fract_x
_atom_site_fract_y
_atom_site_fract_z
Ga1 Ga 0.000 0.500 0.000
Co1 Co 0.000 0.000 0.500
As1 As 0.500 0.500 0.500
Ir1 Ir 0.000 0.000 0.000
```